First-principles (PBE-GGA) data for an optimized crystal structure of PmYTe, as listed in the Open Quantum Materials Database.

```
data_PmYTe
_chemical_formula_sum 'Pm4 Y4 Te4'
_cell_length_a 7.4695
_cell_length_b 7.4695
_cell_length_c 7.4695
_cell_angle_alpha 90.00
_cell_angle_beta 90.00
_cell_angle_gamma 90.00
_space_group_name_H-M_alt 'F -4 3 m'
_space_group_IT_number 216
_space_group_name_Hall 'F -4 2 3'
loop_
_atom_site_label
_atom_site_type_symbol
_atom_site_fract_x
_atom_site_fract_y
_atom_site_fract_z
_atom_site_occupancy
Pm1 Pm 0.0000 0.0000 0.0000 1
Y1 Y 0.2500 0.2500 0.2500 1
Te1 Te 0.0000 0.0000 0.5000 1
```

The value obtained for the total energy is -4.7373 eV/atom.